Entry 1:
Na3Ca2US6 | PBE | relaxed

Structure (CIF):
```
data_Na3Ca2US6
_chemical_formula_sum 'Na6 Ca4 U2 S12'
_cell_length_a 6.979
_cell_length_b 12.090
_cell_length_c 7.032
_cell_angle_alpha 90.00
_cell_angle_beta 109.47
_cell_angle_gamma 90.00
_space_group_name_H-M_alt 'C 1 2/m 1'
_space_group_IT_number 12
loop_
_space_group_symop_operation_xyz
'x,y,z'
'-x,-y,-z'
'-x,y,-z'
'x,-y,z'
'x+1/2,y+1/2,z'
'-x+1/2,-y+1/2,-z'
'-x+1/2,y+1/2,-z'
'x+1/2,-y+1/2,z'
loop_
_atom_site_label
_atom_site_type_symbol
_atom_site_fract_x
_atom_site_fract_y
_atom_site_fract_z
Na1 Na 0.000 0.000 0.000
Na2 Na 0.000 0.332 0.000
Ca1 Ca 0.000 0.167 0.500
U1 U 0.000 0.500 0.500
S1 S 0.232 0.344 0.728
S2 S 0.236 0.500 0.276
```

Raw formation energy: -1615 meV/atom

=====

Entry 2:
Tl3Sn2BiTe6 | PBE | relaxed

Structure (CIF):
```
data_Tl3Sn2BiTe6
_chemical_formula_sum 'Tl6 Sn4 Bi2 Te12'
_cell_length_a 20.467
_cell_length_b 4.518
_cell_length_c 9.397
_cell_angle_alpha 90.00
_cell_angle_beta 108.07
_cell_angle_gamma 90.00
_space_group_name_H-M_alt 'C 1 2/m 1'
_space_group_IT_number 12
loop_
_space_group_symop_operation_xyz
'x,y,z'
'-x,-y,-z'
'-x,y,-z'
'x,-y,z'
'x+1/2,y+1/2,z'
'-x+1/2,-y+1/2,-z'
'-x+1/2,y+1/2,-z'
'x+1/2,-y+1/2,z'
loop_
_atom_site_label
_atom_site_type_symbol
_atom_site_fract_x
_atom_site_fract_y
_atom_site_fract_z
Tl1 Tl 0.000 0.000 0.000
Tl2 Tl 0.165 0.500 0.334
Sn1 Sn 0.170 0.500 0.839
Bi1 Bi 0.000 0.000 0.500
Te1 Te 0.010 0.500 0.741
Te2 Te 0.164 0.000 0.605
Te3 Te 0.172 0.000 0.072
```

Raw formation energy: -267 meV/atom

=====

Entry 3:
Ca2SmIr | PBE | relaxed

Structure (CIF):
```
data_Ca2SmIr
_chemical_formula_sum 'Ca8 Sm4 Ir4'
_cell_length_a 4.018
_cell_length_b 12.624
_cell_length_c 9.442
_cell_angle_alpha 90.00
_cell_angle_beta 90.00
_cell_angle_gamma 90.00
_space_group_name_H-M_alt 'C m c m'
_space_group_IT_number 63
_space_group_name_Hall '-C 2c 2'
loop_
_atom_site_label
_atom_site_type_symbol
_atom_site_fract_x
_atom_site_fract_y
_atom_site_fract_z
Ca1 Ca 0.000 0.150 0.067
Sm1 Sm 0.000 0.419 0.250
Ir1 Ir 0.000 0.231 0.750
```

E_form: -1.5 eV per formula unit
Energy above the most stable polymorph in this dataset: 0 meV per atom

=====

Entry 4:
BaSr2ZrPd | PBE | relaxed

Structure (CIF):
```
data_BaSr2ZrPd
_chemical_formula_sum 'Ba1 Sr2 Zr1 Pd1'
_cell_length_a 6.245
_cell_length_b 6.245
_cell_length_c 5.210
_cell_angle_alpha 90.00
_cell_angle_beta 90.00
_cell_angle_gamma 90.00
_space_group_name_H-M_alt 'P 4/m m m'
_space_group_IT_number 123
_space_group_name_Hall '-P 4 2'
loop_
_atom_site_label
_atom_site_type_symbol
_atom_site_fract_x
_atom_site_fract_y
_atom_site_fract_z
Ba1 Ba 0.000 0.000 0.000
Sr1 Sr 0.000 0.500 0.000
Zr1 Zr 0.500 0.500 0.500
Pd1 Pd 0.000 0.000 0.500
```

E_form: 5.8 eV per formula unit

=====

Entry 5:
Cs4Rb3CuCl8 | PBE | relaxed

Structure (CIF):
```
data_Cs4Rb3CuCl8
_chemical_formula_sum 'Cs8 Rb6 Cu2 Cl16'
_cell_length_a 16.953
_cell_length_b 9.272
_cell_length_c 9.441
_cell_angle_alpha 90.00
_cell_angle_beta 123.50
_cell_angle_gamma 90.00
_space_group_name_H-M_alt 'C 1 2/m 1'
_space_group_IT_number 12
loop_
_space_group_symop_operation_xyz
'x,y,z'
'-x,-y,-z'
'-x,y,-z'
'x,-y,z'
'x+1/2,y+1/2,z'
'-x+1/2,-y+1/2,-z'
'-x+1/2,y+1/2,-z'
'x+1/2,-y+1/2,z'
loop_
_atom_site_label
_atom_site_type_symbol
_atom_site_fract_x
_atom_site_fract_y
_atom_site_fract_z
Cs1 Cs 0.000 0.000 0.000
Cs2 Cs 0.000 0.500 0.000
Cs3 Cs 0.250 0.250 0.500
Rb1 Rb 0.000 0.000 0.500
Rb2 Rb 0.250 0.250 0.000
Cu1 Cu 0.000 0.500 0.500
Cl1 Cl 0.003 0.300 0.695
Cl2 Cl 0.227 0.000 0.216
Cl3 Cl 0.245 0.000 0.756
```

Raw formation energy: -1675 meV/atom

=====

Entry 6:
CdAgRu2 | PBE | relaxed

Structure (CIF):
```
data_CdAgRu2
_chemical_formula_sum 'Cd2 Ag2 Ru4'
_cell_length_a 9.068
_cell_length_b 2.839
_cell_length_c 5.137
_cell_angle_alpha 90.00
_cell_angle_beta 98.75
_cell_angle_gamma 90.00
_space_group_name_H-M_alt 'C 1 m 1'
_space_group_IT_number 8
loop_
_space_group_symop_operation_xyz
'x,y,z'
'x,-y,z'
'x+1/2,y+1/2,z'
'x+1/2,-y+1/2,z'
loop_
_atom_site_label
_atom_site_type_symbol
_atom_site_fract_x
_atom_site_fract_y
_atom_site_fract_z
Cd1 Cd 0.000 0.000 0.000
Ag1 Ag 0.254 0.500 0.223
Ru1 Ru 0.008 0.500 0.526
Ru2 Ru 0.246 0.000 0.691
```

E_form: 1.5 eV per formula unit

=====

Entry 7:
NdGa2Co | PBE | relaxed

Structure (CIF):
```
data_NdGa2Co
_chemical_formula_sum 'Nd4 Ga8 Co4'
_cell_length_a 6.673
_cell_length_b 4.340
_cell_length_c 10.457
_cell_angle_alpha 90.00
_cell_angle_beta 90.00
_cell_angle_gamma 90.00
_space_group_name_H-M_alt 'P n m a'
_space_group_IT_number 62
loop_
_space_group_symop_operation_xyz
'x,y,z'
'-x,-y,-z'
'-x+1/2,-y,z+1/2'
'x+1/2,y,-z+1/2'
'x+1/2,-y+1/2,-z+1/2'
'-x+1/2,y+1/2,z+1/2'
'-x,y+1/2,-z'
'x,-y+1/2,z'
loop_
_atom_site_label
_atom_site_type_symbol
_atom_site_fract_x
_atom_site_fract_y
_atom_site_fract_z
Nd1 Nd 0.193 0.250 0.126
Ga1 Ga 0.139 0.250 0.808
Ga2 Ga 0.193 0.250 0.424
Co1 Co 0.023 0.750 0.396
```

E_form: -2.0 eV per formula unit

=====

Entry 8:
HfCrPW2 | PBE | relaxed

Structure (CIF):
```
data_HfCrPW2
_chemical_formula_sum 'Hf1 Cr1 P1 W2'
_cell_length_a 4.845
_cell_length_b 4.845
_cell_length_c 4.669
_cell_angle_alpha 90.00
_cell_angle_beta 90.00
_cell_angle_gamma 90.00
_space_group_name_H-M_alt 'P 4/m m m'
_space_group_IT_number 123
_space_group_name_Hall '-P 4 2'
loop_
_atom_site_label
_atom_site_type_symbol
_atom_site_fract_x
_atom_site_fract_y
_atom_site_fract_z
Hf1 Hf 0.000 0.000 0.000
Cr1 Cr 0.500 0.500 0.500
P1 P 0.000 0.000 0.500
W1 W 0.000 0.500 0.000
```

E_form: 12.6 eV per formula unit

=====

Entry 9:
Tb3Bi2O2 | PBE | relaxed

Structure (CIF):
```
data_Tb3Bi2O2
_chemical_formula_sum 'Tb3 Bi2 O2'
_cell_length_a 3.426
_cell_length_b 6.123
_cell_length_c 7.951
_cell_angle_alpha 99.77
_cell_angle_beta 102.43
_cell_angle_gamma 106.24
_space_group_name_H-M_alt 'P -1'
_space_group_IT_number 2
loop_
_space_group_symop_operation_xyz
'x,y,z'
'-x,-y,-z'
loop_
_atom_site_label
_atom_site_type_symbol
_atom_site_fract_x
_atom_site_fract_y
_atom_site_fract_z
Tb1 Tb 0.000 0.000 0.000
Tb2 Tb 0.104 0.422 0.785
Bi1 Bi 0.304 0.205 0.404
O1 O 0.384 0.727 0.042
```

Raw formation energy: -1913 meV/atom

=====

Entry 10:
NaTlCuSe2 | PBE | relaxed

Structure (CIF):
```
data_NaTlCuSe2
_chemical_formula_sum 'Na2 Tl2 Cu2 Se4'
_cell_length_a 7.218
_cell_length_b 4.836
_cell_length_c 7.929
_cell_angle_alpha 90.00
_cell_angle_beta 110.42
_cell_angle_gamma 90.00
_space_group_name_H-M_alt 'P 1 2/c 1'
_space_group_IT_number 13
loop_
_space_group_symop_operation_xyz
'x,y,z'
'-x,-y,-z'
'-x,y,-z+1/2'
'x,-y,z+1/2'
loop_
_atom_site_label
_atom_site_type_symbol
_atom_site_fract_x
_atom_site_fract_y
_atom_site_fract_z
Na1 Na 0.000 0.249 0.250
Tl1 Tl 0.500 0.405 0.750
Cu1 Cu 0.500 0.000 0.000
Se1 Se 0.224 0.251 0.984
```

Raw formation energy: -417 meV/atom

=====

Entry 11:
Pr4V | PBE | relaxed

Structure (CIF):
```
data_Pr4V
_chemical_formula_sum 'Pr4 V1'
_cell_length_a 5.563
_cell_length_b 5.563
_cell_length_c 5.563
_cell_angle_alpha 90.00
_cell_angle_beta 90.00
_cell_angle_gamma 90.00
_space_group_name_H-M_alt 'P m -3 m'
_space_group_IT_number 221
_space_group_name_Hall '-P 4 2 3'
loop_
_atom_site_label
_atom_site_type_symbol
_atom_site_fract_x
_atom_site_fract_y
_atom_site_fract_z
Pr1 Pr 0.000 0.000 0.000
Pr2 Pr 0.000 0.500 0.500
V1 V 0.500 0.500 0.500
```

E_form: 2.3 eV per formula unit

=====

Entry 12:
MnGeTe2I | PBE | relaxed

Structure (CIF):
```
data_MnGeTe2I
_chemical_formula_sum 'Mn1 Ge1 Te2 I1'
_cell_length_a 5.435
_cell_length_b 5.435
_cell_length_c 5.632
_cell_angle_alpha 90.00
_cell_angle_beta 90.00
_cell_angle_gamma 90.00
_space_group_name_H-M_alt 'P 4/m m m'
_space_group_IT_number 123
_space_group_name_Hall '-P 4 2'
loop_
_atom_site_label
_atom_site_type_symbol
_atom_site_fract_x
_atom_site_fract_y
_atom_site_fract_z
Mn1 Mn 0.000 0.000 0.000
Ge1 Ge 0.500 0.500 0.500
Te1 Te 0.000 0.500 0.500
I1 I 0.500 0.500 0.000
```

Energy above the most stable polymorph in this dataset: 215 meV per atom
Raw formation energy: 581 meV/atom

=====

Entry 13:
BaTh2MnN4 | PBE | relaxed

Structure (CIF):
```
data_BaTh2MnN4
_chemical_formula_sum 'Ba4 Th8 Mn4 N16'
_cell_length_a 3.724
_cell_length_b 12.443
_cell_length_c 12.242
_cell_angle_alpha 90.00
_cell_angle_beta 90.00
_cell_angle_gamma 90.00
_space_group_name_H-M_alt 'C m c m'
_space_group_IT_number 63
_space_group_name_Hall '-C 2c 2'
loop_
_atom_site_label
_atom_site_type_symbol
_atom_site_fract_x
_atom_site_fract_y
_atom_site_fract_z
Ba1 Ba 0.000 0.098 0.250
Th1 Th 0.000 0.368 0.051
Mn1 Mn 0.000 0.172 0.750
N1 N 0.000 0.000 0.000
N2 N 0.000 0.254 0.609
N3 N 0.000 0.407 0.250
```

Raw formation energy: -1120 meV/atom

=====

Entry 14:
B5C7 | PBE | relaxed

Structure (CIF):
```
data_B5C7
_chemical_formula_sum 'B10 C14'
_cell_length_a 3.733
_cell_length_b 11.407
_cell_length_c 3.735
_cell_angle_alpha 90.00
_cell_angle_beta 90.89
_cell_angle_gamma 90.00
_space_group_name_H-M_alt 'C 1 2 1'
_space_group_IT_number 5
loop_
_space_group_symop_operation_xyz
'x,y,z'
'-x,y,-z'
'x+1/2,y+1/2,z'
'-x+1/2,y+1/2,-z'
loop_
_atom_site_label
_atom_site_type_symbol
_atom_site_fract_x
_atom_site_fract_y
_atom_site_fract_z
B1 B 0.000 0.000 0.000
B2 B 0.213 0.385 0.712
B3 B 0.245 0.236 0.257
C1 C 0.000 0.142 0.500
C2 C 0.000 0.317 0.000
C3 C 0.000 0.491 0.500
C4 C 0.000 0.642 0.000
C5 C 0.000 0.816 0.500
C6 C 0.238 0.568 0.262
```

E_form: 4.1 eV per formula unit
Energy above the most stable polymorph in this dataset: 87 meV per atom

=====

Entry 15:
Th5Re2Te2 | PBE | relaxed

Structure (CIF):
```
data_Th5Re2Te2
_chemical_formula_sum 'Th20 Re8 Te8'
_cell_length_a 16.212
_cell_length_b 8.062
_cell_length_c 8.075
_cell_angle_alpha 90.00
_cell_angle_beta 90.00
_cell_angle_gamma 90.00
_space_group_name_H-M_alt 'C m c e'
_space_group_IT_number 64
_space_group_name_Hall '-C 2ac 2'
loop_
_atom_site_label
_atom_site_type_symbol
_atom_site_fract_x
_atom_site_fract_y
_atom_site_fract_z
Th1 Th 0.000 0.000 0.000
Th2 Th 0.114 0.158 0.342
Re1 Re 0.000 0.140 0.639
Te1 Te 0.207 0.000 0.000
```

Raw formation energy: -523 meV/atom

=====

Entry 16:
Er2Al4NiAu3 | PBE | relaxed

Structure (CIF):
```
data_Er2Al4NiAu3
_chemical_formula_sum 'Er2 Al4 Ni1 Au3'
_cell_length_a 4.221
_cell_length_b 4.221
_cell_length_c 10.609
_cell_angle_alpha 90.00
_cell_angle_beta 90.00
_cell_angle_gamma 90.00
_space_group_name_H-M_alt 'P -4 m 2'
_space_group_IT_number 115
loop_
_space_group_symop_operation_xyz
'x,y,z'
'y,-x,-z'
'-x,-y,z'
'-y,x,-z'
'-x,y,z'
'-y,-x,-z'
'x,-y,z'
'y,x,-z'
loop_
_atom_site_label
_atom_site_type_symbol
_atom_site_fract_x
_atom_site_fract_y
_atom_site_fract_z
Er1 Er 0.000 0.500 0.240
Al1 Al 0.000 0.000 0.500
Al2 Al 0.000 0.500 0.877
Al3 Al 0.500 0.500 0.500
Ni1 Ni 0.500 0.500 0.000
Au1 Au 0.000 0.000 0.000
Au2 Au 0.000 0.500 0.642
```

E_form: -6.5 eV per formula unit

=====

Entry 17:
MgBe | PBE | relaxed

Structure (CIF):
```
data_MgBe
_chemical_formula_sum 'Mg4 Be4'
_cell_length_a 5.860
_cell_length_b 5.860
_cell_length_c 5.860
_cell_angle_alpha 90.00
_cell_angle_beta 90.00
_cell_angle_gamma 90.00
_space_group_name_H-M_alt 'F -4 3 m'
_space_group_IT_number 216
_space_group_name_Hall 'F -4 2 3'
loop_
_atom_site_label
_atom_site_type_symbol
_atom_site_fract_x
_atom_site_fract_y
_atom_site_fract_z
Mg1 Mg 0.000 0.000 0.000
Be1 Be 0.250 0.250 0.750
```

E_form: 2.6 eV per formula unit
Energy above the most stable polymorph in this dataset: 1090 meV per atom

=====

Entry 18:
Tc5Rh | PBE | relaxed

Structure (CIF):
```
data_Tc5Rh
_chemical_formula_sum 'Tc10 Rh2'
_cell_length_a 9.995
_cell_length_b 2.748
_cell_length_c 6.499
_cell_angle_alpha 90.00
_cell_angle_beta 103.89
_cell_angle_gamma 90.00
_space_group_name_H-M_alt 'C 1 m 1'
_space_group_IT_number 8
loop_
_space_group_symop_operation_xyz
'x,y,z'
'x,-y,z'
'x+1/2,y+1/2,z'
'x+1/2,-y+1/2,z'
loop_
_atom_site_label
_atom_site_type_symbol
_atom_site_fract_x
_atom_site_fract_y
_atom_site_fract_z
Tc1 Tc 0.000 0.000 0.000
Tc2 Tc 0.055 0.000 0.616
Tc3 Tc 0.220 0.500 0.950
Tc4 Tc 0.332 0.000 0.671
Tc5 Tc 0.388 0.000 0.282
Rh1 Rh 0.166 0.500 0.339
```

E_form: -0.4 eV per formula unit
Energy above the most stable polymorph in this dataset: 0 meV per atom

=====

Entry 19:
CsLi2UF8 | PBE | relaxed

Structure (CIF):
```
data_CsLi2UF8
_chemical_formula_sum 'Cs3 Li6 U3 F24'
_cell_length_a 6.0376
_cell_length_b 6.0376
_cell_length_c 16.9838
_cell_angle_alpha 90.00
_cell_angle_beta 90.00
_cell_angle_gamma 120.00
_space_group_name_H-M_alt 'R -3'
_space_group_IT_number 148
_space_group_name_Hall '-R 3'
loop_
_atom_site_label
_atom_site_type_symbol
_atom_site_fract_x
_atom_site_fract_y
_atom_site_fract_z
Cs1 Cs 0.0000 0.0000 0.0000
Li1 Li 0.0000 0.0000 0.2558
U1 U 0.0000 0.0000 0.5000
F1 F 0.0000 0.0000 0.3656
F2 F 0.0299 0.4013 0.8812
```

Raw formation energy: -3195 meV/atom

=====

Entry 20:
SrTm2H | PBE | relaxed

Structure (CIF):
```
data_SrTm2H
_chemical_formula_sum 'Sr3 Tm6 H3'
_cell_length_a 3.5933
_cell_length_b 3.5933
_cell_length_c 29.0972
_cell_angle_alpha 90.00
_cell_angle_beta 90.00
_cell_angle_gamma 120.00
_space_group_name_H-M_alt 'R -3 m'
_space_group_IT_number 166
_space_group_name_Hall '-R 3 2"'
loop_
_atom_site_label
_atom_site_type_symbol
_atom_site_fract_x
_atom_site_fract_y
_atom_site_fract_z
Sr1 Sr 0.0000 0.0000 0.0000
Tm1 Tm 0.0000 0.0000 0.1222
H1 H 0.0000 0.0000 0.5000
```

Total DFT energy (no corrections): -3.44 eV/atom

=====

Entry 21:
UFeBi | PBE | relaxed

Structure (CIF):
```
data_UFeBi
_chemical_formula_sum 'U2 Fe2 Bi2'
_cell_length_a 3.507
_cell_length_b 3.591
_cell_length_c 11.058
_cell_angle_alpha 90.00
_cell_angle_beta 98.85
_cell_angle_gamma 90.00
_space_group_name_H-M_alt 'P 1 21/m 1'
_space_group_IT_number 11
loop_
_space_group_symop_operation_xyz
'x,y,z'
'-x,-y,-z'
'-x,y+1/2,-z'
'x,-y+1/2,z'
loop_
_atom_site_label
_atom_site_type_symbol
_atom_site_fract_x
_atom_site_fract_y
_atom_site_fract_z
U1 U 0.066 0.250 0.137
Fe1 Fe 0.454 0.250 0.904
Bi1 Bi 0.330 0.250 0.650
```

E_form: -0.3 eV per formula unit

=====

Entry 22:
Ta2Nb6Rh | PBE | relaxed

Structure (CIF):
```
data_Ta2Nb6Rh
_chemical_formula_sum 'Ta4 Nb12 Rh2'
_cell_length_a 13.181
_cell_length_b 2.909
_cell_length_c 10.237
_cell_angle_alpha 90.00
_cell_angle_beta 119.92
_cell_angle_gamma 90.00
_space_group_name_H-M_alt 'C 1 2/m 1'
_space_group_IT_number 12
loop_
_space_group_symop_operation_xyz
'x,y,z'
'-x,-y,-z'
'-x,y,-z'
'x,-y,z'
'x+1/2,y+1/2,z'
'-x+1/2,-y+1/2,-z'
'-x+1/2,y+1/2,-z'
'x+1/2,-y+1/2,z'
loop_
_atom_site_label
_atom_site_type_symbol
_atom_site_fract_x
_atom_site_fract_y
_atom_site_fract_z
Ta1 Ta 0.137 0.000 0.259
Nb1 Nb 0.061 0.500 0.707
Nb2 Nb 0.147 0.000 0.533
Nb3 Nb 0.217 0.500 0.085
Rh1 Rh 0.000 0.500 0.000
```

E_form: 2.3 eV per formula unit
Energy above the most stable polymorph in this dataset: 249 meV per atom